# 1
Compound: FeP3S
Source: the Alexandria database
Functional: PBE-GGA
Structure: optimized geometry

POSCAR file:
```
FeP3S
1.0
5.0343 0.4502 -1.7909
-2.4639 4.4134 -1.7908
-0.0039 -0.0071 7.3082
P Fe S
6 2 2
Direct
0.0862 0.6677 0.2428
0.0086 0.2112 0.7804
0.0628 0.2307 0.4529
0.6902 0.6034 0.9529
0.1273 0.6267 0.7428
0.6708 0.5491 0.2804
0.0911 0.8893 0.5616
0.3487 0.6315 0.0615
0.5954 0.1239 0.2873
0.5834 0.1360 0.7873
```

Properties
E_form (uncorrected)	8	meV/atom
N(E_F)	4.1	states/eV/cell
spin magnetization	0.00	μB per formula unit
ΔE to the lowest computed polymorph	0	meV per atom


# 2
Compound: FeP2S2
Source: the Alexandria database
Functional: PBE-GGA
Structure: optimized geometry

POSCAR file:
```
FeP2S2
1.0
-3.7051 -1.6996 1.8404
-1.1634 -1.7426 -3.9514
2.0646 -3.4918 0.9320
P S Fe
2 2 1
Direct
0.5000 0.0000 0.0000
0.0000 0.5000 0.0000
0.5000 0.5000 0.5000
0.0000 0.0000 0.5000
0.0000 0.0000 0.0000
```

Properties
E_form (uncorrected)	630	meV/atom
N(E_F)	4.4	states/eV/cell
spin magnetization	1.21	μB per formula unit
ΔE to the lowest computed polymorph	0	meV per atom


# 3
Compound: FeP2S2
Source: the Alexandria database
Functional: PBE-GGA
Structure: optimized geometry

POSCAR file:
```
FeP2S2
1.0
4.3994 0.0000 0.0000
0.0000 4.3994 0.0000
0.0000 0.0000 4.3401
P S Fe
2 2 1
Direct
0.5000 0.0000 0.0000
0.0000 0.5000 0.0000
0.0000 0.0000 0.0000
0.0000 0.0000 0.5000
0.5000 0.5000 0.5000
```

Properties
E_form (uncorrected)	1349	meV/atom
N(E_F)	5.9	states/eV/cell
spin magnetization	0.04	μB per formula unit
ΔE to the lowest computed polymorph	720	meV per atom


# 4
Compound: FeP3S
Source: the Alexandria database
Functional: PBE-GGA
Structure: optimized geometry

POSCAR file:
```
FeP3S
1.0
4.3261 0.0000 0.0000
0.0000 4.3261 0.0000
0.0000 0.0000 4.3261
P S Fe
3 1 1
Direct
0.5000 0.0000 0.0000
0.0000 0.0000 0.5000
0.0000 0.5000 0.0000
0.5000 0.5000 0.5000
0.0000 0.0000 0.0000
```

Properties
E_form (uncorrected)	598	meV/atom
N(E_F)	5.6	states/eV/cell
spin magnetization	0.01	μB per formula unit
ΔE to the lowest computed polymorph	590	meV per atom


# 5
Compound: FeP2S2
Source: the Alexandria database
Functional: PBE-GGA
Structure: optimized geometry

POSCAR file:
```
FeP2S2
1.0
4.3678 0.0000 0.0000
0.0000 4.3678 0.0000
0.0000 0.0000 4.3719
S P Fe
2 2 1
Direct
0.0000 0.5000 0.0000
0.5000 0.0000 0.0000
0.0000 0.0000 0.0000
0.0000 0.0000 0.5000
0.5000 0.5000 0.5000
```

Properties
E_form (uncorrected)	1142	meV/atom
N(E_F)	5.6	states/eV/cell
spin magnetization	0.00	μB per formula unit
ΔE to the lowest computed polymorph	513	meV per atom


# 6
Compound: FePS3
Source: the Alexandria database
Functional: PBE-GGA
Structure: optimized geometry

POSCAR file:
```
FePS3
1.0
-5.8905 -0.0022 -0.0203
2.8413 5.1579 0.0110
-0.8208 -1.8711 -7.1191
S Fe P
6 2 2
Direct
0.6752 0.5970 0.7644
0.6569 0.0674 0.2166
0.3248 0.4030 0.2356
0.0046 0.2715 0.7835
0.3431 0.9326 0.7834
0.9954 0.7285 0.2165
0.3629 0.6380 0.0001
0.6371 0.3620 0.9999
0.0085 0.9572 0.8457
0.9915 0.0428 0.1543
```

Properties
E_form (uncorrected)	-246	meV/atom
N(E_F)	0.9	states/eV/cell
spin magnetization	4.01	μB per formula unit
ΔE to the lowest computed polymorph	0	meV per atom